Version A
Here is a geometry-optimized Tb3HoMg structure from the Alexandria database. Energies are from PBE.

CIF file:
```
data_Tb3HoMg
_space_group_name_H-M_alt 'C 1 2/c 1'
_space_group_IT_number 15
_cell_length_a 15.025
_cell_length_b 12.871
_cell_length_c 6.480
_cell_angle_alpha 90.00
_cell_angle_beta 104.26
_cell_angle_gamma 90.00
loop_
_space_group_symop_operation_xyz
'x,y,z'
'-x,-y,-z'
'-x,y,-z+1/2'
'x,-y,z+1/2'
'x+1/2,y+1/2,z'
'-x+1/2,-y+1/2,-z'
'-x+1/2,y+1/2,-z+1/2'
'x+1/2,-y+1/2,z+1/2'
loop_
_atom_site_label
_atom_site_type_symbol
_atom_site_fract_x
_atom_site_fract_y
_atom_site_fract_z
Tb1 Tb 0.096 0.192 0.457
Tb2 Tb 0.194 0.315 0.141
Tb3 Tb 0.206 0.426 0.650
Ho1 Ho 0.100 0.075 0.948
Mg1 Mg 0.000 0.332 0.750
Mg2 Mg 0.000 0.427 0.250
```

* crystal system: monoclinic

---

Version B
Here is a geometry-optimized Tb3HoMg structure from the Alexandria database. Energies are from PBE.

CIF file:
```
data_Tb3HoMg
_space_group_name_H-M_alt 'C 1 2/m 1'
_space_group_IT_number 12
_cell_length_a 12.835
_cell_length_b 3.667
_cell_length_c 12.848
_cell_angle_alpha 90.00
_cell_angle_beta 93.31
_cell_angle_gamma 90.00
loop_
_space_group_symop_operation_xyz
'x,y,z'
'-x,-y,-z'
'-x,y,-z'
'x,-y,z'
'x+1/2,y+1/2,z'
'-x+1/2,-y+1/2,-z'
'-x+1/2,y+1/2,-z'
'x+1/2,-y+1/2,z'
loop_
_atom_site_label
_atom_site_type_symbol
_atom_site_fract_x
_atom_site_fract_y
_atom_site_fract_z
Tb1 Tb 0.036 0.000 0.188
Tb2 Tb 0.135 0.500 0.976
Tb3 Tb 0.149 0.000 0.439
Ho1 Ho 0.233 0.000 0.760
Mg1 Mg 0.062 0.500 0.626
```

* crystal system: monoclinic

---

version B wins, 0.056 eV/atom ahead of the next structure.

---

Version A
Here is a geometry-optimized Tb3HoMg7 structure from the Alexandria database. Energies are from PBE.

CIF file:
```
data_Tb3HoMg7
_space_group_name_H-M_alt 'C m c m'
_space_group_IT_number 63
_space_group_name_Hall '-C 2c 2'
_cell_length_a 3.298
_cell_length_b 22.554
_cell_length_c 16.333
_cell_angle_alpha 90.00
_cell_angle_beta 90.00
_cell_angle_gamma 90.00
loop_
_atom_site_label
_atom_site_type_symbol
_atom_site_fract_x
_atom_site_fract_y
_atom_site_fract_z
Tb1 Tb 0.000 0.118 0.034
Tb2 Tb 0.000 0.239 0.750
Ho1 Ho 0.000 0.015 0.750
Mg1 Mg 0.000 0.262 0.074
Mg2 Mg 0.000 0.375 0.157
Mg3 Mg 0.000 0.386 0.750
Mg4 Mg 0.000 0.493 0.084
```

* crystal system: orthorhombic

---

Version B
Here is a geometry-optimized Tb3HoMg7 structure from the Alexandria database. Energies are from PBE.

CIF file:
```
data_Tb3HoMg7
_space_group_name_H-M_alt 'C 1 2/m 1'
_space_group_IT_number 12
_cell_length_a 10.742
_cell_length_b 10.226
_cell_length_c 6.075
_cell_angle_alpha 90.00
_cell_angle_beta 107.96
_cell_angle_gamma 90.00
loop_
_space_group_symop_operation_xyz
'x,y,z'
'-x,-y,-z'
'-x,y,-z'
'x,-y,z'
'x+1/2,y+1/2,z'
'-x+1/2,-y+1/2,-z'
'-x+1/2,y+1/2,-z'
'x+1/2,-y+1/2,z'
loop_
_atom_site_label
_atom_site_type_symbol
_atom_site_fract_x
_atom_site_fract_y
_atom_site_fract_z
Tb1 Tb 0.000 0.000 0.000
Tb2 Tb 0.000 0.194 0.500
Ho1 Ho 0.000 0.500 0.000
Mg1 Mg 0.000 0.500 0.500
Mg2 Mg 0.191 0.245 0.187
Mg3 Mg 0.238 0.000 0.522
```

* crystal system: monoclinic

---

version A wins, 0.115 eV/atom ahead of the next structure.

---

Version A
Here is a geometry-optimized Tb5Ho2Mg structure from the Alexandria database. Energies are from PBE.

CIF file:
```
data_Tb5Ho2Mg
_space_group_name_H-M_alt 'P -1'
_space_group_IT_number 2
_cell_length_a 3.565
_cell_length_b 8.622
_cell_length_c 16.408
_cell_angle_alpha 99.11
_cell_angle_beta 96.22
_cell_angle_gamma 90.06
loop_
_space_group_symop_operation_xyz
'x,y,z'
'-x,-y,-z'
loop_
_atom_site_label
_atom_site_type_symbol
_atom_site_fract_x
_atom_site_fract_y
_atom_site_fract_z
Tb1 Tb 0.046 0.489 0.092
Tb2 Tb 0.077 0.132 0.154
Tb3 Tb 0.129 0.782 0.257
Tb4 Tb 0.205 0.467 0.411
Tb5 Tb 0.326 0.882 0.653
Ho1 Ho 0.271 0.179 0.542
Ho2 Ho 0.479 0.191 0.960
Mg1 Mg 0.376 0.559 0.752
```

* crystal system: triclinic

---

Version B
Here is a geometry-optimized Tb5Ho2Mg structure from the Alexandria database. Energies are from PBE.

CIF file:
```
data_Tb5Ho2Mg
_space_group_name_H-M_alt 'I 4/m m m'
_space_group_IT_number 139
_space_group_name_Hall '-I 4 2'
_cell_length_a 7.033
_cell_length_b 7.033
_cell_length_c 9.879
_cell_angle_alpha 90.00
_cell_angle_beta 90.00
_cell_angle_gamma 90.00
loop_
_atom_site_label
_atom_site_type_symbol
_atom_site_fract_x
_atom_site_fract_y
_atom_site_fract_z
Tb1 Tb 0.000 0.000 0.000
Tb2 Tb 0.250 0.250 0.250
Ho1 Ho 0.000 0.500 0.000
Mg1 Mg 0.000 0.000 0.500
```

* crystal system: tetragonal

---

version B wins, 0.031 eV/atom ahead of the next structure.

---

Version A
Here is a geometry-optimized TbHo2Mg4 structure from the Alexandria database. Energies are from PBE.

CIF file:
```
data_TbHo2Mg4
_space_group_name_H-M_alt 'I 4/m m m'
_space_group_IT_number 139
_space_group_name_Hall '-I 4 2'
_cell_length_a 5.370
_cell_length_b 5.370
_cell_length_c 14.407
_cell_angle_alpha 90.00
_cell_angle_beta 90.00
_cell_angle_gamma 90.00
loop_
_atom_site_label
_atom_site_type_symbol
_atom_site_fract_x
_atom_site_fract_y
_atom_site_fract_z
Tb1 Tb 0.000 0.000 0.000
Ho1 Ho 0.000 0.000 0.250
Mg1 Mg 0.000 0.500 0.118
```

* crystal system: tetragonal

---

Version B
Here is a geometry-optimized TbHo2Mg4 structure from the Alexandria database. Energies are from PBE.

CIF file:
```
data_TbHo2Mg4
_space_group_name_H-M_alt 'C m m m'
_space_group_IT_number 65
_space_group_name_Hall '-C 2 2'
_cell_length_a 5.959
_cell_length_b 12.916
_cell_length_c 5.451
_cell_angle_alpha 90.00
_cell_angle_beta 90.00
_cell_angle_gamma 90.00
loop_
_atom_site_label
_atom_site_type_symbol
_atom_site_fract_x
_atom_site_fract_y
_atom_site_fract_z
Tb1 Tb 0.000 0.000 0.000
Ho1 Ho 0.000 0.368 0.500
Mg1 Mg 0.000 0.119 0.500
Mg2 Mg 0.000 0.245 0.000
```

* crystal system: orthorhombic

---

version A wins, 0.244 eV/atom ahead of the next structure.

---

Version A
Here is a geometry-optimized TbHo3Mg structure from the Alexandria database. Energies are from PBE.

CIF file:
```
data_TbHo3Mg
_space_group_name_H-M_alt 'C 1 2/m 1'
_space_group_IT_number 12
_cell_length_a 12.762
_cell_length_b 3.620
_cell_length_c 12.931
_cell_angle_alpha 90.00
_cell_angle_beta 93.35
_cell_angle_gamma 90.00
loop_
_space_group_symop_operation_xyz
'x,y,z'
'-x,-y,-z'
'-x,y,-z'
'x,-y,z'
'x+1/2,y+1/2,z'
'-x+1/2,-y+1/2,-z'
'-x+1/2,y+1/2,-z'
'x+1/2,-y+1/2,z'
loop_
_atom_site_label
_atom_site_type_symbol
_atom_site_fract_x
_atom_site_fract_y
_atom_site_fract_z
Tb1 Tb 0.234 0.000 0.265
Ho1 Ho 0.034 0.000 0.688
Ho2 Ho 0.134 0.500 0.479
Ho3 Ho 0.151 0.000 0.935
Mg1 Mg 0.063 0.500 0.122
```

* crystal system: monoclinic

---

Version B
Here is a geometry-optimized TbHo3Mg structure from the Alexandria database. Energies are from PBE.

CIF file:
```
data_TbHo3Mg
_space_group_name_H-M_alt 'C 1 2/c 1'
_space_group_IT_number 15
_cell_length_a 14.957
_cell_length_b 12.817
_cell_length_c 6.456
_cell_angle_alpha 90.00
_cell_angle_beta 104.43
_cell_angle_gamma 90.00
loop_
_space_group_symop_operation_xyz
'x,y,z'
'-x,-y,-z'
'-x,y,-z+1/2'
'x,-y,z+1/2'
'x+1/2,y+1/2,z'
'-x+1/2,-y+1/2,-z'
'-x+1/2,y+1/2,-z+1/2'
'x+1/2,-y+1/2,z+1/2'
loop_
_atom_site_label
_atom_site_type_symbol
_atom_site_fract_x
_atom_site_fract_y
_atom_site_fract_z
Tb1 Tb 0.100 0.076 0.447
Ho1 Ho 0.097 0.192 0.957
Ho2 Ho 0.194 0.316 0.640
Ho3 Ho 0.205 0.425 0.148
Mg1 Mg 0.000 0.332 0.250
Mg2 Mg 0.000 0.427 0.750
```

* crystal system: monoclinic

---

version A wins, 0.056 eV/atom ahead of the next structure.

---

Version A
Here is a geometry-optimized Tb6Ho2Mg structure from the Alexandria database. Energies are from PBE.

CIF file:
```
data_Tb6Ho2Mg
_space_group_name_H-M_alt 'C 1 2/c 1'
_space_group_IT_number 15
_cell_length_a 14.822
_cell_length_b 8.713
_cell_length_c 8.862
_cell_angle_alpha 90.00
_cell_angle_beta 97.36
_cell_angle_gamma 90.00
loop_
_space_group_symop_operation_xyz
'x,y,z'
'-x,-y,-z'
'-x,y,-z+1/2'
'x,-y,z+1/2'
'x+1/2,y+1/2,z'
'-x+1/2,-y+1/2,-z'
'-x+1/2,y+1/2,-z+1/2'
'x+1/2,-y+1/2,z+1/2'
loop_
_atom_site_label
_atom_site_type_symbol
_atom_site_fract_x
_atom_site_fract_y
_atom_site_fract_z
Tb1 Tb 0.088 0.196 0.126
Tb2 Tb 0.110 0.439 0.836
Tb3 Tb 0.140 0.236 0.516
Ho1 Ho 0.222 0.081 0.850
Mg1 Mg 0.000 0.113 0.750
```

* crystal system: monoclinic

---

Version B
Here is a geometry-optimized Tb6Ho2Mg structure from the Alexandria database. Energies are from PBE.

CIF file:
```
data_Tb6Ho2Mg
_space_group_name_H-M_alt 'P 42/m n m'
_space_group_IT_number 136
_space_group_name_Hall '-P 4n 2n'
_cell_length_a 10.513
_cell_length_b 10.513
_cell_length_c 5.027
_cell_angle_alpha 90.00
_cell_angle_beta 90.00
_cell_angle_gamma 90.00
loop_
_atom_site_label
_atom_site_type_symbol
_atom_site_fract_x
_atom_site_fract_y
_atom_site_fract_z
Tb1 Tb 0.000 0.334 0.000
Tb2 Tb 0.165 0.165 0.500
Ho1 Ho 0.167 0.833 0.500
Mg1 Mg 0.000 0.000 0.000
```

* crystal system: tetragonal

---

version B wins, 0.133 eV/atom ahead of the next structure.